*i*
Density functional theory data (PBE) for a geometry-optimized V2Ga2Cu structure.

Calculated values
Size of the total moment ... 0.01 μB per cell
Symmetry ... No. 127

Cell: 6.7820 6.7820 3.2912 Å, 90.00 90.00 90.00°
Closest atoms and distances in Å follow each position.
Fractional positions:
1 V 0.3890 0.8890 0.0000  1 V 2.13
2 V 0.6110 0.1110 0.0000  1 V 2.13
3 V 0.8890 0.6110 0.0000  1 V 2.13
4 V 0.1110 0.3890 0.0000  1 V 2.13
5 Ga 0.8116 0.3116 0.5000  6 V 2.53-2.67
6 Ga 0.6884 0.8116 0.5000  6 V 2.53-2.67
7 Ga 0.1884 0.6884 0.5000  6 V 2.53-2.67
8 Ga 0.3116 0.1884 0.5000  6 V 2.53-2.67
9 Cu 0.0000 0.0000 0.0000  4 V 2.74, 8 Ga 2.97
10 Cu 0.5000 0.5000 0.0000  4 V 2.74, 8 Ga 2.97

***

*ii*
Density functional theory data (PBE) for a geometry-optimized V2Ga2Cu structure.

Calculated values
Size of the total moment ... 0.00 μB per cell
Symmetry ... No. 127

Cell: 6.3021 6.3021 3.6047 Å, 90.00 90.00 90.00°
Closest atoms and distances in Å follow each position.
Fractional positions:
1 Cu 0.5000 0.5000 0.0000  4 Ga 2.45
2 Cu 0.0000 0.0000 0.0000  4 Ga 2.45
3 V 0.8328 0.3328 0.5000  6 Ga 2.51-2.64
4 V 0.3328 0.1672 0.5000  6 Ga 2.51-2.64
5 V 0.6672 0.8328 0.5000  6 Ga 2.51-2.64
6 V 0.1672 0.6672 0.5000  6 Ga 2.51-2.64
7 Ga 0.8630 0.6370 0.0000  1 Ga 2.44, 2 Cu 2.45, 6 V 2.51-2.64
8 Ga 0.6370 0.1370 0.0000  1 Ga 2.44, 2 Cu 2.45, 6 V 2.51-2.64
9 Ga 0.1370 0.3630 0.0000  1 Ga 2.44, 2 Cu 2.45, 6 V 2.51-2.64
10 Ga 0.3630 0.8630 0.0000  1 Ga 2.44, 2 Cu 2.45, 6 V 2.51-2.64

***

Verdict on stability: *ii* comes out on top.

***

*i*
Density functional theory data (PBE) for a geometry-optimized VGaCu3 structure.

Calculated values
Size of the total moment ... 3.13 μB per cell
Symmetry ... No. 221

Cell: 4.4253 4.4253 4.4253 Å, 90.00 90.00 90.00°
Closest atoms and distances in Å follow each position.
Fractional positions:
1 Cu 0.0000 0.5000 0.0000  2 Ga 2.21
2 Cu 0.5000 0.0000 0.0000  2 Ga 2.21
3 Cu 0.0000 0.0000 0.5000  2 Ga 2.21
4 V 0.5000 0.5000 0.5000  12 Cu 3.13
5 Ga 0.0000 0.0000 0.0000  6 Cu 2.21

***

*ii*
Density functional theory data (PBE) for a geometry-optimized VGaCu3 structure.

Calculated values
Size of the total moment ... 2.84 μB per cell
Symmetry ... No. 221

Cell: 4.6480 4.6480 4.6480 Å, 90.00 90.00 90.00°
Closest atoms and distances in Å follow each position.
Fractional positions:
1 Cu 0.0000 0.5000 0.0000  2 V 2.32
2 Cu 0.0000 0.0000 0.5000  2 V 2.32
3 Cu 0.5000 0.0000 0.0000  2 V 2.32
4 V 0.0000 0.0000 0.0000  6 Cu 2.32
5 Ga 0.5000 0.5000 0.5000  12 Cu 3.29

***

Verdict on stability: *i* comes out on top.